An optimized crystal structure of SnBAs2Br. Source: the Alexandria database, functional GGA-PBEsol.

Properties
The value obtained for the formation energy from raw total energies is 13.70 kcal/mol of atoms.

Cell and atoms, written as CIF:
```
data_SnBAs2Br
_chemical_formula_sum 'Sn1 B1 As2 Br1'
_cell_length_a 4.328
_cell_length_b 4.328
_cell_length_c 5.339
_cell_angle_alpha 90.00
_cell_angle_beta 90.00
_cell_angle_gamma 90.00
_symmetry_space_group_name_H-M 'P 4/m m m'
_symmetry_Int_Tables_number 123
_symmetry_space_group_name_Hall '-P 4 2'
loop_
_atom_site_label
_atom_site_type_symbol
_atom_site_fract_x
_atom_site_fract_y
_atom_site_fract_z
Sn1 Sn 0.000 0.000 0.000
B1 B 0.500 0.500 0.500
As1 As 0.000 0.500 0.500
Br1 Br 0.500 0.500 0.000
```